# 1
Density functional theory data (GGA-PBE) for a relaxed BeIrO2 crystal.

The space group is I-42d (No. 122) and the conventional cell measures 4.4113, 4.4113 and 7.9019 Å, with angles of 90.00, 90.00 and 90.00 degrees. The inequivalent atoms are Be at (0.0000, 0.0000, 0.0000), Ir at (0.0000, 0.0000, 0.5000) and O at (0.1563, 0.2500, 0.1250).

The value obtained for the density of states at the Fermi level is 0.3611 states/eV per atom. The volume is 9.6 Å³ per atom. As for the raw formation energy: -1.028 eV/atom.



# 2
Density functional theory data (GGA-PBE) for a relaxed PaBe2IrO8 crystal.

The space group is P-3m1 (No. 164) and the conventional cell measures 5.0438, 5.0438 and 6.2627 Å, with angles of 90.00, 90.00 and 120.00 degrees. The inequivalent atoms are Pa at (0.0000, 0.0000, 0.0000), Be at (0.3333, 0.6667, 0.2109), Ir at (0.0000, 0.0000, 0.5000), O at (0.1620, 0.3240, 0.2933) and O at (0.3333, 0.6667, 0.9592).

The value obtained for the density of states at the Fermi level is 0.6002 states/eV per atom. The volume is 11.5 Å³ per atom. As for the raw formation energy: -1.714 eV/atom.



# 3
Density functional theory data (GGA-PBE) for a relaxed PaBeIrO6 crystal.

The space group is P312 (No. 149) and the conventional cell measures 4.9727, 4.9727 and 4.7819 Å, with angles of 90.00, 90.00 and 120.00 degrees. The inequivalent atoms are Pa at (0.0000, 0.0000, 0.0000), Be at (0.6667, 0.3333, 0.5000), Ir at (0.3333, 0.6667, 0.5000) and O at (0.3596, 0.0150, 0.7194).

The value obtained for the density of states at the Fermi level is 0.5428 states/eV per atom. The volume is 11.4 Å³ per atom. As for the raw formation energy: -2.061 eV/atom.



# 4
Density functional theory data (GGA-PBE) for a relaxed PmBeIrO5 crystal.

The space group is C2/c (No. 15) and the conventional cell measures 6.4291, 8.8882 and 6.9996 Å, with angles of 90.00, 113.17 and 90.00 degrees. The inequivalent atoms are Pm at (0.0000, 0.1532, 0.2500), Be at (0.0000, 0.1915, 0.7500), Ir at (0.0000, 0.5000, 0.0000), O at (0.0000, 0.4186, 0.2500), O at (0.1050, 0.2882, 0.6108) and O at (0.1808, 0.0683, 0.9216).

The value obtained for the density of states at the Fermi level is 0.5520 states/eV per atom. The volume is 11.5 Å³ per atom. As for the raw formation energy: -2.042 eV/atom.



# 5
Density functional theory data (GGA-PBE) for a relaxed PmBeIrO6 crystal.

The space group is P-31c (No. 163) and the conventional cell measures 4.9530, 4.9530 and 10.2058 Å, with angles of 90.00, 90.00 and 120.00 degrees. The inequivalent atoms are Pm at (0.0000, 0.0000, 0.0000), Be at (0.3333, 0.6667, 0.2500), Ir at (0.3333, 0.6667, 0.7500) and O at (0.0105, 0.3711, 0.1493).

The value obtained for the density of states at the Fermi level is 0.5121 states/eV per atom. The volume is 12.0 Å³ per atom. As for the raw formation energy: -1.676 eV/atom.



# 6
Density functional theory data (GGA-PBE) for a relaxed Pm2BeIrO6 crystal.

The space group is P2_1/c (No. 14) and the conventional cell measures 5.3669, 5.5959 and 9.2012 Å, with angles of 90.00, 125.47 and 90.00 degrees. The inequivalent atoms are Pm at (0.2376, 0.0606, 0.2508), Be at (0.5000, 0.0000, 0.0000), Ir at (0.0000, 0.0000, 0.5000), O at (0.1663, 0.1989, 0.9579), O at (0.2591, 0.7145, 0.9546) and O at (0.3471, 0.0178, 0.7648).

The value obtained for the density of states at the Fermi level is 0.6832 states/eV per atom. The volume is 11.3 Å³ per atom. As for the raw formation energy: -2.335 eV/atom.



# 7
Density functional theory data (GGA-PBE) for a relaxed Be2IrPtO8 crystal.

The space group is P-3m1 (No. 164) and the conventional cell measures 5.2451, 5.2451 and 5.6593 Å, with angles of 90.00, 90.00 and 120.00 degrees. The inequivalent atoms are Be at (0.3333, 0.6667, 0.1788), Ir at (0.0000, 0.0000, 0.0000), Pt at (0.0000, 0.0000, 0.5000), O at (0.1578, 0.3156, 0.2471) and O at (0.3333, 0.6667, 0.8912).

The value obtained for the density of states at the Fermi level is 0.7534 states/eV per atom. The volume is 11.2 Å³ per atom. As for the raw formation energy: -0.696 eV/atom.



# 8
Density functional theory data (GGA-PBE) for a relaxed PuBeIrO6 crystal.

The space group is P-31c (No. 163) and the conventional cell measures 5.0104, 5.0104 and 8.7645 Å, with angles of 90.00, 90.00 and 120.00 degrees. The inequivalent atoms are Pu at (0.3333, 0.6667, 0.2500), Be at (0.3333, 0.6667, 0.7500), Ir at (0.0000, 0.0000, 0.0000) and O at (0.0273, 0.3463, 0.6298).

The value obtained for the density of states at the Fermi level is 0.5060 states/eV per atom. The volume is 10.6 Å³ per atom. As for the raw formation energy: -1.711 eV/atom.



Number 1: size of the total moment 0.00 μB/f.u.. Number 2: size of the total moment 0.72 μB/f.u.. Number 3: size of the total moment 2.03 μB/f.u.. Number 4: size of the total moment 0.40 μB/f.u.. Number 5: size of the total moment 0.00 μB/f.u.. Number 6: size of the total moment 0.69 μB/f.u.. Number 7: size of the total moment 4.46 μB/f.u.. Number 8: size of the total moment 1.06 μB/f.u..